# 1
Here is crystalline SmGa3Fe3 at its relaxed geometry from the Alexandria database. Energies are from PBE.

abc: 6.531 6.531 6.531
angles: 90.00 90.00 90.00
Sites, in units of the cell vectors:
Sm 0.000 0.000 0.000
Sm 0.500 0.500 0.500
Ga 0.000 0.250 0.500
Ga 0.000 0.750 0.500
Ga 0.250 0.500 0.000
Ga 0.500 0.000 0.250
Ga 0.500 0.000 0.750
Ga 0.750 0.500 0.000
Fe 0.000 0.500 0.250
Fe 0.000 0.500 0.750
Fe 0.250 0.000 0.500
Fe 0.500 0.250 0.000
Fe 0.500 0.750 0.000
Fe 0.750 0.000 0.500

DFT total energy: -0.1915 Ha/atom
calculated formation energy: 0.389 eV per atom


# 2
Here is crystalline NaCu2Tc at its relaxed geometry from the Alexandria database. Energies are from PBE.

abc: 9.170 9.170 9.170
angles: 155.56 155.56 34.84
Sites, in units of the cell vectors:
Na 0.000 0.000 0.000
Na 0.750 0.250 0.500
Cu 0.162 0.625 0.037
Cu 0.375 0.412 0.537
Cu 0.588 0.125 0.963
Cu 0.875 0.838 0.463
Tc 0.250 0.750 0.500
Tc 0.500 0.500 0.000

distance to the lowest polymorph of the same formula: 495 meV/atom
DFT total energy: -0.1389 Ha/atom
calculated formation energy: 1.190 eV per atom


# 3
Here is crystalline Tl2InF4 at its relaxed geometry from the Alexandria database. Energies are from PBE.

abc: 7.670 5.669 7.938
angles: 90.00 113.96 90.00
Sites, in units of the cell vectors:
Tl 0.039 0.250 0.299
Tl 0.461 0.750 0.116
Tl 0.539 0.250 0.884
Tl 0.961 0.750 0.701
In 0.399 0.750 0.547
In 0.601 0.250 0.453
F 0.199 0.750 0.265
F 0.241 0.004 0.620
F 0.241 0.496 0.620
F 0.392 0.250 0.173
F 0.608 0.750 0.827
F 0.759 0.504 0.380
F 0.759 0.996 0.380
F 0.801 0.250 0.735

distance to the lowest polymorph of the same formula: 21 meV/atom
DFT total energy: -0.1475 Ha/atom
formation energy from raw total energies: -1.8771 eV per atom


| no. | density of states at the Fermi level (states/eV/atom) |
| --- | --- |
| 1 | 1.93 |
| 2 | 0.81 |
| 3 | 0.05 |